--- P ---
The following is a SCAN calculation of BaCa2Al2 at its PBEsol-relaxed geometry, from Alexandria.

CIF file:
```
data_BaCa2Al2
_symmetry_space_group_name_H-M 'I 4/m m m'
_symmetry_Int_Tables_number 139
_symmetry_space_group_name_Hall '-I 4 2'
_cell_length_a 5.5225
_cell_length_b 5.5225
_cell_length_c 11.6823
_cell_angle_alpha 90.00
_cell_angle_beta 90.00
_cell_angle_gamma 90.00
loop_
_atom_site_label
_atom_site_fract_x
_atom_site_fract_y
_atom_site_fract_z
Ba1 0.0000 0.0000 0.0000
Ca1 0.0000 0.0000 0.3490
Al1 0.0000 0.5000 0.2500
```



--- Q ---
The following is a SCAN calculation of BaCa2Al2 at its PBEsol-relaxed geometry, from Alexandria.

CIF file:
```
data_BaCa2Al2
_symmetry_space_group_name_H-M 'P 4/m b m'
_symmetry_Int_Tables_number 127
_symmetry_space_group_name_Hall '-P 4 2ab'
_cell_length_a 9.3249
_cell_length_b 9.3249
_cell_length_c 3.3971
_cell_angle_alpha 90.00
_cell_angle_beta 90.00
_cell_angle_gamma 90.00
loop_
_atom_site_label
_atom_site_fract_x
_atom_site_fract_y
_atom_site_fract_z
Ba1 0.0000 0.0000 0.0000
Ca1 0.1268 0.3732 0.0000
Al1 0.1698 0.6698 0.5000
```



Relative energies with respect to the most stable structure, expressed in meV per atom: P 256; Q 0.